First-principles (GGA-PBE) data for a relaxed structure of Y8Pt, as listed in OQMD via LeMat-Bulk.

Unit cell a=9.1608 b=9.1608 c=3.7083 alpha=90.00 beta=90.00 gamma=120.00
Last column: nearest neighbours and their distance in Å.
Positions (direct):
Y: 0.3876 0.3876 0.0000  10 Y 3.39-3.71, 1 Pt 3.55
Y: 0.7553 0.7553 0.5000  2 Pt 2.91
Y: 0.6667 0.3333 0.5000  11 Y 3.39-3.71
Y: 0.6124 0.0000 0.0000  10 Y 3.39-3.71, 1 Pt 3.55
Y: 0.3333 0.6667 0.5000  11 Y 3.39-3.71
Y: 0.0000 0.2447 0.5000  2 Pt 2.91
Y: 0.0000 0.6124 0.0000  10 Y 3.39-3.71, 1 Pt 3.55
Y: 0.2447 0.0000 0.5000  2 Pt 2.91
Pt: 0.0000 0.0000 0.0000  6 Y 2.91

Computed properties:
The calculation puts the energy of formation at -0.30 eV/atom. The total magnetization is 0.39 μB/cell.